Below is a relaxed NaPmU2O8 crystal, with properties calculated at the PBE level.

Summary:
- E_form (uncorrected) (eV per atom) = -3.02
- total moment (μB/cell) = 0.0
- DFT total energy (eV for the cell shown) = -104.51

```
NaPmU2O8
1.0
-2.7076 2.7076 5.2623
2.7076 -2.7076 5.2623
2.7076 2.7076 -5.2623
Na Pm U O
1 1 2 8
Cartesian
0.0000 0.0000 0.0000
2.7076 0.0000 2.6311
0.0000 0.0000 5.2623
0.0000 2.7076 2.6311
1.5108 1.2896 -1.4279
3.9213 1.4509 -1.2231
1.4509 1.4939 1.2231
1.4180 -1.1968 6.6901
-1.2137 1.2567 4.0392
1.1968 1.4180 3.8344
1.2567 1.2137 6.4853
1.2896 3.9044 1.4279
```



Below is a relaxed GaAsPb2 crystal, with properties calculated at the PBE level.

Summary:
- energy of formation from the pure elements (eV per atom) = 0.2591
- total moment (μB/cell) = 0.0
- DFT total energy (eV for the cell shown) = -42.17

```
GaAsPb2
1.0
3.7640 0.0000 0.0000
-1.8820 3.2597 0.0000
0.0000 0.0000 29.8353
Ga As Pb
3 3 6
Cartesian
0.0000 0.0000 0.0000
0.0000 2.1731 19.8902
1.8820 1.0866 9.9451
0.0000 0.0000 14.9177
0.0000 2.1731 4.9726
1.8820 1.0866 24.8628
0.0000 0.0000 3.0044
0.0000 0.0000 26.8309
0.0000 2.1731 16.8858
0.0000 2.1731 22.8946
1.8820 1.0866 6.9407
1.8820 1.0866 12.9495
```



Below is a relaxed TcWN2 crystal, with properties calculated at the PBE level.

Summary:
- E_form (uncorrected) (eV per atom) = 0.71
- total moment (μB/cell) = 2.7
- DFT total energy (eV for the cell shown) = -148.56

```
TcWN2
1.0
5.4206 0.0000 0.0000
0.0000 5.4206 0.0000
0.0000 0.0000 5.4206
Tc W N
4 4 8
Cartesian
0.0000 0.0000 0.0000
0.0000 2.7103 2.7103
2.7103 0.0000 2.7103
2.7103 2.7103 0.0000
0.0000 0.0000 2.7103
0.0000 2.7103 0.0000
2.7103 0.0000 0.0000
2.7103 2.7103 2.7103
1.3552 1.3552 1.3552
1.3552 1.3552 4.0655
1.3552 4.0655 1.3552
1.3552 4.0655 4.0655
4.0655 1.3552 1.3552
4.0655 1.3552 4.0655
4.0655 4.0655 1.3552
4.0655 4.0655 4.0655
```